Entry 1:
Here is a relaxed KFe crystal from the Alexandria database. Energies are from PBE-GGA. Values from VASP.

The structure in Quantum ESPRESSO input format:
```
&SYSTEM
  ibrav = 0, nat = 4, ntyp = 2
/
ATOMIC_SPECIES
Fe 55.84 Fe.upf
K 39.10 K.upf
CELL_PARAMETERS angstrom
-8.989 -3.969 -1.487
-6.791 -6.879 -2.309
-7.694 -6.165 1.248
ATOMIC_POSITIONS angstrom
Fe -16.630 -12.053 -1.805
Fe -0.976 -0.707 -0.106
K -6.682 -4.843 -0.725
K -10.924 -7.917 -1.186
```

## Properties
Space-group type: R-3m (166)
Energy of formation, eV/atom: 0.85
Relative energy among the computed polymorphs, kJ/mol of atoms: 17.1
M_tot, μB/f.u.: 0.57

Entry 2:
Here is a relaxed KFe crystal from the Alexandria database. Energies are from PBE-GGA. Values from VASP.

The structure in Quantum ESPRESSO input format:
```
&SYSTEM
  ibrav = 0, nat = 12, ntyp = 2
/
ATOMIC_SPECIES
K 39.10 K.upf
Fe 55.84 Fe.upf
CELL_PARAMETERS angstrom
-1.524 1.057 -14.345
-1.925 -2.653 0.009
-6.480 4.706 1.035
ATOMIC_POSITIONS angstrom
K -1.843 -1.613 0.077
Fe -3.302 1.489 -0.685
K -5.700 3.028 -2.319
Fe -1.864 0.211 -7.079
Fe -8.369 2.903 -7.335
K -4.101 -0.008 -10.005
K -4.965 2.481 -6.582
Fe -8.130 2.737 -5.081
Fe -4.587 2.380 -12.776
Fe -5.205 0.846 0.615
K -6.566 3.628 -10.472
K -3.443 -0.464 -3.813
```

## Properties
Space-group type: Pmn2_1 (31)
Energy of formation, eV/atom: 0.77
Relative energy among the computed polymorphs, kJ/mol of atoms: 9.6
M_tot, μB/f.u.: 2.83

Entry 3:
Here is a relaxed KFe crystal from the Alexandria database. Energies are from PBE-GGA. Values from VASP.

The structure in Quantum ESPRESSO input format:
```
&SYSTEM
  ibrav = 0, nat = 4, ntyp = 2
/
ATOMIC_SPECIES
Fe 55.84 Fe.upf
K 39.10 K.upf
CELL_PARAMETERS angstrom
-4.686 1.467 1.995
-0.148 -0.234 5.293
0.139 4.784 2.276
ATOMIC_POSITIONS angstrom
Fe -0.410 0.526 0.836
Fe -4.285 5.491 8.728
K -2.997 3.841 6.105
K -1.698 2.176 3.459
```

## Properties
Space-group type: R-3m (166)
Energy of formation, eV/atom: 1.15
Relative energy among the computed polymorphs, kJ/mol of atoms: 46.5
M_tot, μB/f.u.: 2.90

Entry 4:
Here is a relaxed KFe2 crystal from the Alexandria database. Energies are from PBE-GGA. Values from VASP.

The structure in Quantum ESPRESSO input format:
```
&SYSTEM
  ibrav = 0, nat = 3, ntyp = 2
/
ATOMIC_SPECIES
Fe 55.84 Fe.upf
K 39.10 K.upf
CELL_PARAMETERS angstrom
3.012 0.000 0.000
-1.506 2.608 0.000
0.000 0.000 7.422
ATOMIC_POSITIONS angstrom
Fe 1.506 0.869 4.518
Fe 0.000 1.739 2.904
K 0.000 0.000 0.000
```

## Properties
Space-group type: P-3m1 (164)
Energy of formation, eV/atom: 0.99
M_tot, μB/f.u.: 5.43

Entry 5:
Here is a relaxed K2Fe crystal from the Alexandria database. Energies are from PBE-GGA. Values from VASP.

The structure in Quantum ESPRESSO input format:
```
&SYSTEM
  ibrav = 0, nat = 6, ntyp = 2
/
ATOMIC_SPECIES
Fe 55.84 Fe.upf
K 39.10 K.upf
CELL_PARAMETERS angstrom
-0.234 -7.272 -6.666
0.772 -4.342 -8.828
6.946 -3.193 -1.097
ATOMIC_POSITIONS angstrom
Fe 2.787 -6.964 -8.144
K 4.978 -11.883 -13.792
K 6.316 -4.067 -2.574
Fe 4.697 -7.844 -8.447
K 1.168 -10.741 -14.017
K 2.506 -2.925 -2.798
```

## Properties
Space-group type: C2/m (12)
Energy of formation, eV/atom: 0.77
Relative energy among the computed polymorphs, kJ/mol of atoms: 10.7
M_tot, μB/f.u.: 2.99

Entry 6:
Here is a relaxed KFe crystal from the Alexandria database. Energies are from PBE-GGA. Values from VASP.

The structure in Quantum ESPRESSO input format:
```
&SYSTEM
  ibrav = 0, nat = 8, ntyp = 2
/
ATOMIC_SPECIES
Fe 55.84 Fe.upf
K 39.10 K.upf
CELL_PARAMETERS angstrom
-4.177 5.081 1.744
-0.772 -2.754 6.174
5.228 3.532 2.230
ATOMIC_POSITIONS angstrom
Fe -1.188 5.985 3.346
Fe -3.018 1.419 4.830
K 1.010 2.520 3.682
Fe 1.468 -0.127 6.802
K -3.578 3.704 2.523
K -0.730 3.338 6.466
K -1.371 -1.377 5.395
Fe -1.930 0.907 3.089
```

## Properties
Space-group type: P4_2/mnm (136)
Energy of formation, eV/atom: 1.26
Relative energy among the computed polymorphs, kJ/mol of atoms: 56.9
M_tot, μB/f.u.: 3.07